(1)
SmLuCdGa, optimized geometry, DFT PBE-GGA; space-group type = F-43m, No. 216; formation enthalpy at 0 K = -41 kJ/mol of atoms; electronic total energy = -14.86 eV/cell; D(E_F) = 3.54 states/eV per cell; total magnetization = 0.0 Bohr magnetons per cell
1.0
-0.5166 4.1195 3.1021
-3.5926 -0.0033 3.7354
1.4315 -0.3042 4.9718
Ga Cd Sm Lu
1 1 1 1
Direct
0.2500 0.2500 0.2500
0.7500 0.7500 0.7500
0.0000 0.0000 0.0000
0.5000 0.5000 0.5000


(2)
Cs4InCl5, optimized geometry, DFT PBE-GGA; space-group type = I4, No. 79; electronic total energy = -32.73 eV/cell; E_form (uncorrected) = -17.348 eV/f.u.; D(E_F) = 0.00 states/eV per cell; total magnetization = 0.0 Bohr magnetons per cell
1.0
7.0506 0.0000 0.0000
3.5253 7.7527 0.0000
3.5253 0.0000 7.7527
Cl Cs In
5 4 1
Direct
0.4114 0.0000 0.0000
0.9162 0.3846 0.8051
0.1059 0.6154 0.1949
0.7213 0.1949 0.3846
0.3008 0.8051 0.6154
0.2126 0.1988 0.3970
0.4114 0.3970 0.8012
0.8084 0.8012 0.6030
0.6096 0.6030 0.1988
0.0127 0.0000 0.0000


(3)
MgInCu4, optimized geometry, DFT PBE-GGA; space-group type = I-4m2, No. 119; formation enthalpy at 0 K = -11 kJ/mol of atoms; electronic total energy = -21.42 eV/cell; D(E_F) = 4.15 states/eV per cell; total magnetization = 0.0 Bohr magnetons per cell
1.0
-2.6523 4.1195 1.0449
-4.9276 -0.3357 0.8548
-1.8002 0.7150 4.6201
Cu In Mg
4 1 1
Direct
0.1241 0.6253 0.6253
0.6253 0.6253 0.1241
0.6253 0.1241 0.6253
0.6253 0.6253 0.6253
0.2500 0.2500 0.2500
0.0001 0.0000 0.0001


(4)
Cs2CrCl3, optimized geometry, DFT PBE-GGA; space-group type = Immm, No. 71; electronic total energy = -24.83 eV/cell; E_form (uncorrected) = -7.960 eV/f.u.; D(E_F) = 1.41 states/eV per cell; total magnetization = 4.9 Bohr magnetons per cell
1.0
4.8432 0.0000 0.0000
0.0000 5.4252 0.0000
-2.4216 -2.7126 8.4853
Cl Cs Cr
3 2 1
Direct
0.0000 0.5000 0.0000
0.1453 0.1453 0.2907
0.8547 0.8547 0.7093
0.6442 0.6442 0.2884
0.3558 0.3558 0.7116
0.0000 0.0000 0.0000


(5)
Li4Be2Fe, optimized geometry, DFT PBE-GGA; space-group type = I4/mmm, No. 139; formation enthalpy at 0 K = 79 kJ/mol of atoms; electronic total energy = -17.83 eV/cell; D(E_F) = 6.93 states/eV per cell; total magnetization = 2.5 Bohr magnetons per cell
1.0
-4.0074 1.8731 0.4171
-1.0466 -1.3239 -4.1102
-4.7815 -5.0593 0.4456
Be Li Fe
2 4 1
Direct
0.4176 0.4176 0.1648
0.5824 0.5824 0.8352
0.5000 0.0000 0.0000
0.7953 0.7953 0.4094
0.0000 0.5000 0.0000
0.2047 0.2047 0.5906
0.0000 0.0000 0.0000


(6)
SrLiOs, optimized geometry, DFT PBE-GGA; space-group type = P3m1, No. 156; formation enthalpy at 0 K = 60 kJ/mol of atoms; electronic total energy = -12.95 eV/cell; D(E_F) = 2.12 states/eV per cell; energy above the most stable polymorph in this dataset = 15 meV/atom; total magnetization = 0.0 Bohr magnetons per cell
1.0
4.9782 0.0000 0.0000
-2.4891 4.3113 0.0000
0.0000 0.0000 2.8033
Sr Li Os
1 1 1
Direct
0.3333 0.6667 0.6656
0.0000 0.0000 0.1710
0.6667 0.3333 0.1633